Material: NaAcW2O8
Method: DFT, GGA+U
State: optimized geometry

- N(E_F) (states/eV/cell) = 0.000
- raw total energy (eV per atom) = -7.34

a b c (Å): 5.5302 5.5302 11.9386
angles (deg): 90.00 90.00 90.00
Closest atoms and distances in Å follow each position.
Space group I-4 (No. 82)
One atom of each set of equivalent atoms:
Na: 0.0000 0.0000 0.0000 [2 per cell]  8 O 2.60-2.67
Ac: 0.0000 0.5000 0.2500 [2 per cell]  8 O 2.58-2.63
W: 0.0000 0.0000 0.5000 [2 per cell]  4 O 1.82
W: 0.0000 0.5000 0.7500 [2 per cell]  4 O 1.83
O: 0.1428 0.2323 0.4140 [8 per cell]  1 W 1.82
O: 0.1460 0.7366 0.8326 [8 per cell]  1 W 1.83